Record 1
First-principles (PBE-GGA) data for Tl3Sb4Te8 after structural relaxation, as listed in Alexandria via LeMat-Bulk.

Output
**N(E_F)**: 0.214 states/eV per atom
**E_form (uncorrected)**: -0.13 eV/atom
**Energy**: -3.374 eV per atom

abc: 12.6998 12.7055 8.9040
angles: 90.00 134.24 90.00
Space group C2/m (No. 12)
Unique sites:
1 Tl 0.0000 0.0000 0.0000 x2
2 Tl 0.2500 0.2500 0.0000 x4
3 Sb 0.0000 0.5000 0.0000 x2
4 Sb 0.0000 0.5000 0.5000 x2
5 Sb 0.2500 0.2500 0.5000 x4
6 Te 0.0000 0.2540 0.5000 x4
7 Te 0.0000 0.2569 0.0000 x4
8 Te 0.2367 0.5000 0.9893 x4
9 Te 0.2395 0.5000 0.4839 x4

***

Record 2
First-principles (PBE-GGA) data for TlSb2Te after structural relaxation, as listed in Alexandria via LeMat-Bulk.

Output
**N(E_F)**: 0.536 states/eV per atom
**E_form (uncorrected)**: 0.13 eV/atom
**Energy**: -3.306 eV per atom

abc: 3.8918 5.3344 11.3612
angles: 90.00 90.00 90.00
Space group Cmm2 (No. 35)
Unique sites:
1 Tl 0.0000 0.0000 0.0000 x2
2 Sb 0.0000 0.0000 0.4836 x2
3 Sb 0.0000 0.5000 0.2677 x2
4 Te 0.0000 0.5000 0.7472 x2

***

Record 3
First-principles (PBE-GGA) data for Tl2SbTe after structural relaxation, as listed in Alexandria via LeMat-Bulk.

Output
**N(E_F)**: 0.117 states/eV per atom
**E_form (uncorrected)**: -0.04 eV/atom
**Energy**: -3.036 eV per atom

abc: 13.5779 3.5304 6.1423
angles: 90.00 115.41 90.00
Space group Cm (No. 8)
Unique sites:
1 Tl 0.0000 0.0000 0.0000 x2
2 Tl 0.2441 0.5000 0.0420 x2
3 Sb 0.4520 0.0000 0.4824 x2
4 Te 0.2589 0.0000 0.5574 x2

***

Record 4
First-principles (PBE-GGA) data for Tl2Sb3Te6 after structural relaxation, as listed in Alexandria via LeMat-Bulk.

Output
**N(E_F)**: 0.600 states/eV per atom
**E_form (uncorrected)**: -0.16 eV/atom
**Energy**: -3.432 eV per atom

abc: 7.4900 13.0079 8.5921
angles: 90.00 107.06 90.00
Space group C2/m (No. 12)
Unique sites:
1 Tl 0.0000 0.1639 0.0000 x4
2 Sb 0.0000 0.0000 0.5000 x2
3 Sb 0.0000 0.3306 0.5000 x4
4 Te 0.2375 0.5000 0.7190 x4
5 Te 0.2414 0.1654 0.7187 x8

***

Record 5
First-principles (PBE-GGA) data for TlSb2Te after structural relaxation, as listed in Alexandria via LeMat-Bulk.

Output
**N(E_F)**: 0.724 states/eV per atom
**E_form (uncorrected)**: 0.17 eV/atom
**Energy**: -3.269 eV per atom

abc: 5.4805 5.4805 7.7312
angles: 90.00 90.00 90.00
Space group I-4m2 (No. 119)
Unique sites:
1 Tl 0.0000 0.0000 0.0000 x2
2 Sb 0.0000 0.0000 0.5000 x2
3 Sb 0.0000 0.5000 0.2500 x2
4 Te 0.0000 0.5000 0.7500 x2

***

Record 6
First-principles (PBE-GGA) data for Tm4TlSbTe2 after structural relaxation, as listed in Alexandria via LeMat-Bulk.

Output
**N(E_F)**: 0.350 states/eV per atom
**E_form (uncorrected)**: -0.95 eV/atom
**Energy**: -4.780 eV per atom

abc: 7.5681 4.2581 7.5739
angles: 90.00 108.73 90.00
Space group P2/m (No. 10)
Unique sites:
1 Tm 0.2355 0.0000 0.2504 x2
2 Tm 0.2389 0.5000 0.7447 x2
3 Tl 0.0000 0.0000 0.5000 x1
4 Sb 0.0000 0.5000 0.0000 x1
5 Te 0.5000 0.0000 0.0000 x1
6 Te 0.5000 0.5000 0.5000 x1

***

Record 7
First-principles (PBE-GGA) data for Tm6TlSb2Te3 after structural relaxation, as listed in Alexandria via LeMat-Bulk.

Output
**N(E_F)**: 0.248 states/eV per atom
**E_form (uncorrected)**: -1.03 eV/atom
**Energy**: -4.933 eV per atom

abc: 18.9306 4.2924 8.7517
angles: 90.00 103.23 90.00
Space group C2/m (No. 12)
Unique sites:
1 Tm 0.0012 0.0000 0.2408 x4
2 Tm 0.1613 0.5000 0.0872 x4
3 Tm 0.1699 0.5000 0.5768 x4
4 Tl 0.0000 0.5000 0.0000 x2
5 Sb 0.1665 0.0000 0.3341 x4
6 Te 0.0000 0.5000 0.5000 x2
7 Te 0.1695 0.0000 0.8326 x4

***

Record 8
First-principles (PBE-GGA) data for UTl4Sb3Te8 after structural relaxation, as listed in Alexandria via LeMat-Bulk.

Output
**N(E_F)**: 0.577 states/eV per atom
**E_form (uncorrected)**: -0.29 eV/atom
**Energy**: -3.932 eV per atom

abc: 9.0279 9.0279 24.0066
angles: 90.00 90.00 120.00
Space group R-3m (No. 166, hexagonal axes)
Unique sites:
1 U 0.0000 0.0000 0.0000 x3
2 Tl 0.0000 0.0000 0.5000 x3
3 Tl 0.0000 0.5000 0.5000 x9
4 Sb 0.0000 0.5000 0.0000 x9
5 Te 0.0000 0.0000 0.2619 x6
6 Te 0.9998 0.4999 0.2616 x18

***

Record 9
First-principles (PBE-GGA) data for U3Tl3SbTe8 after structural relaxation, as listed in Alexandria via LeMat-Bulk.

Output
**N(E_F)**: 1.280 states/eV per atom
**E_form (uncorrected)**: -0.45 eV/atom
**Energy**: -5.130 eV per atom

abc: 8.9095 8.9425 9.6946
angles: 62.76 62.71 60.18
Space group P-1 (No. 2)
Unique sites:
1 U 0.0000 0.0000 0.0000 x1
2 U 0.0000 0.5000 0.0000 x1
3 U 0.5000 0.0000 0.0000 x1
4 Tl 0.0000 0.5000 0.5000 x1
5 Tl 0.5000 0.0000 0.5000 x1
6 Tl 0.5000 0.5000 0.5000 x1
7 Sb 0.5000 0.5000 0.0000 x1
8 Te 0.2356 0.7385 0.7874 x2
9 Te 0.2392 0.2385 0.7833 x2
10 Te 0.2614 0.2618 0.2122 x2
11 Te 0.2619 0.7646 0.2115 x2

***

Record 10
First-principles (PBE-GGA) data for U3Tl4SbTe8 after structural relaxation, as listed in Alexandria via LeMat-Bulk.

Output
**N(E_F)**: 0.976 states/eV per atom
**E_form (uncorrected)**: -0.43 eV/atom
**Energy**: -4.969 eV per atom

abc: 8.8869 8.8869 24.8079
angles: 90.00 90.00 120.00
Space group R-3m (No. 166, hexagonal axes)
Unique sites:
1 U 0.0000 0.5000 0.0000 x9
2 Tl 0.0000 0.0000 0.5000 x3
3 Tl 0.0000 0.5000 0.5000 x9
4 Sb 0.0000 0.0000 0.0000 x3
5 Te 0.0000 0.0000 0.2609 x6
6 Te 0.0013 0.5006 0.2613 x18

***

Record 11
First-principles (PBE-GGA) data for TlVSb2Te after structural relaxation, as listed in Alexandria via LeMat-Bulk.

Output
**N(E_F)**: 0.867 states/eV per atom
**E_form (uncorrected)**: 0.17 eV/atom
**Energy**: -4.407 eV per atom

abc: 5.2196 5.2196 5.3262
angles: 90.00 90.00 90.00
Space group P4/mmm (No. 123)
Unique sites:
1 Tl 0.0000 0.0000 0.0000 x1
2 V 0.5000 0.5000 0.5000 x1
3 Sb 0.0000 0.5000 0.5000 x2
4 Te 0.5000 0.5000 0.0000 x1

***

Record 12
First-principles (PBE-GGA) data for Tl2VSbTe after structural relaxation, as listed in Alexandria via LeMat-Bulk.

Output
**N(E_F)**: 0.436 states/eV per atom
**E_form (uncorrected)**: 0.33 eV/atom
**Energy**: -3.896 eV per atom

abc: 5.5025 5.5025 5.1724
angles: 90.00 90.00 90.00
Space group P4/mmm (No. 123)
Unique sites:
1 Tl 0.0000 0.5000 0.0000 x2
2 V 0.0000 0.0000 0.0000 x1
3 Sb 0.0000 0.0000 0.5000 x1
4 Te 0.5000 0.5000 0.5000 x1